## YB2Os (PBE-GGA)

Data for a relaxed YB2Os crystal.

a = 3.6680 Å, b = 3.6680 Å, c = 14.1059 Å
α = 90.00°, β = 90.00°, γ = 120.00°
Space group R-3m (No. 166, hexagonal axes)
Symmetry-distinct sites (fractional):
Y: 0.0000 0.0000 0.0000 [3 per cell]
B: 0.0000 0.0000 0.2069 [6 per cell]
Os: 0.0000 0.0000 0.5000 [3 per cell]

energy relative to the elements: -1.063 eV/f.u.
polymorph energy (0 for the lowest one): 299 meV per atom